Entry 1:
Li2Al2Ga7 | PBE | relaxed

Lattice parameters (Å, degrees): 6.4794 6.4794 4.7425 93.50 93.50 82.48
With the nearest neighbours (Å) after each atom.
Sites, in units of the cell vectors:
Li: 0.2483 0.2483 0.2681  9 Ga 2.79-2.95
Li: 0.7517 0.7517 0.7319  9 Ga 2.79-2.95
Al: 0.2915 0.7085 0.5000  6 Ga 2.66-2.97
Al: 0.7085 0.2915 0.5000  6 Ga 2.66-2.97
Ga: 0.0508 0.0508 0.7626  4 Ga 2.53-2.64, 2 Al 2.81
Ga: 0.0992 0.4489 0.7718  4 Ga 2.59-2.88, 1 Al 2.66, 3 Li 2.79-2.82
Ga: 0.4489 0.0992 0.7718  4 Ga 2.59-2.88, 1 Al 2.66, 3 Li 2.79-2.82
Ga: 0.5000 0.5000 0.0000  4 Ga 2.80, 2 Li 2.85, 4 Al 2.97
Ga: 0.5511 0.9008 0.2282  4 Ga 2.59-2.88, 1 Al 2.66, 3 Li 2.79-2.82
Ga: 0.9008 0.5511 0.2282  4 Ga 2.59-2.88, 1 Al 2.66, 3 Li 2.79-2.82
Ga: 0.9492 0.9492 0.2374  4 Ga 2.53-2.64, 2 Al 2.81

The formation energy is -8 kJ/mol of atoms.

=====

Entry 2:
PaNbGeO6 | PBE | relaxed

Lattice parameters (Å, degrees): 5.6527 5.6527 9.4493 90.00 90.00 120.00
With the nearest neighbours (Å) after each atom.
Sites, in units of the cell vectors:
Pa: 0.3333 0.6667 0.2500  6 O 2.19
Pa: 0.6667 0.3333 0.7500  6 O 2.19
Nb: 0.3333 0.6667 0.7500  6 O 2.03
Nb: 0.6667 0.3333 0.2500  6 O 2.03
Ge: 0.0000 0.0000 0.0000  6 O 2.41
Ge: 0.0000 0.0000 0.5000  6 O 2.41
O: 0.0210 0.3700 0.6368  1 Nb 2.03, 1 Pa 2.19
O: 0.0210 0.6510 0.8632  1 Nb 2.03, 1 Pa 2.19
O: 0.3490 0.3700 0.8632  1 Nb 2.03, 1 Pa 2.19
O: 0.3490 0.9790 0.6368  1 Nb 2.03, 1 Pa 2.19
O: 0.3700 0.0210 0.1368  1 Nb 2.03, 1 Pa 2.19
O: 0.3700 0.3490 0.3632  1 Nb 2.03, 1 Pa 2.19
O: 0.6300 0.6510 0.6368  1 Nb 2.03, 1 Pa 2.19
O: 0.6300 0.9790 0.8632  1 Nb 2.03, 1 Pa 2.19
O: 0.6510 0.0210 0.3632  1 Nb 2.03, 1 Pa 2.19
O: 0.6510 0.6300 0.1368  1 Nb 2.03, 1 Pa 2.19
O: 0.9790 0.3490 0.1368  1 Nb 2.03, 1 Pa 2.19
O: 0.9790 0.6300 0.3632  1 Nb 2.03, 1 Pa 2.19

As for the uncorrected formation energy: -2170 kJ/mol of formula units.

=====

Entry 3:
NiBiN3 | PBE | relaxed

Lattice parameters (Å, degrees): 4.2718 4.2718 4.2718 90.00 90.00 90.00
With the nearest neighbours (Å) after each atom.
Sites, in units of the cell vectors:
Ni: 0.0000 0.0000 0.0000  12 N 3.02
Bi: 0.5000 0.5000 0.5000  6 N 2.14
N: 0.0000 0.5000 0.5000  2 Bi 2.14
N: 0.5000 0.0000 0.5000  2 Bi 2.14
N: 0.5000 0.5000 0.0000  2 Bi 2.14

As for the uncorrected formation energy: 1190 kJ/mol of formula units.

=====

Entry 4:
LiPrGe2Pt5 | PBE | relaxed

Lattice parameters (Å, degrees): 4.1964 4.1964 9.4231 90.00 90.00 90.00
With the nearest neighbours (Å) after each atom.
Sites, in units of the cell vectors:
Li: 0.0000 0.0000 0.0000  8 Ge 3.21, 8 Pt 3.28
Pr: 0.0000 0.0000 0.5000  12 Pt 2.97-3.03
Ge: 0.5000 0.5000 0.1300  1 Ge 2.45, 4 Pt 2.47
Ge: 0.5000 0.5000 0.8700  1 Ge 2.45, 4 Pt 2.47
Pt: 0.0000 0.5000 0.2679  2 Ge 2.47
Pt: 0.0000 0.5000 0.7321  2 Ge 2.47
Pt: 0.5000 0.0000 0.2679  2 Ge 2.47
Pt: 0.5000 0.0000 0.7321  2 Ge 2.47
Pt: 0.5000 0.5000 0.5000  4 Pr 2.97, 8 Pt 3.03

The formation energy is -65 kJ/mol of atoms.

=====

Entry 5:
Mg2Hg7Pb | PBE | relaxed

Lattice parameters (Å, degrees): 9.1961 9.1961 3.4119 90.00 90.00 108.13
With the nearest neighbours (Å) after each atom.
Sites, in units of the cell vectors:
Mg: 0.1762 0.8238 0.0000  4 Hg 2.83-2.85, 2 Pb 3.13
Mg: 0.8238 0.1762 0.0000  4 Hg 2.83-2.85, 2 Pb 3.13
Hg: 0.1338 0.3689 0.0000  1 Mg 2.85
Hg: 0.3282 0.6718 0.5000  2 Mg 2.83, 2 Hg 3.08
Hg: 0.3689 0.1338 0.0000  1 Mg 2.85
Hg: 0.5000 0.5000 0.0000  10 Hg 3.08-3.41
Hg: 0.6311 0.8662 0.0000  1 Mg 2.85
Hg: 0.6718 0.3282 0.5000  2 Mg 2.83, 2 Hg 3.08
Hg: 0.8662 0.6311 0.0000  1 Mg 2.85
Pb: 0.0000 0.0000 0.5000  4 Mg 3.13, 2 Pb 3.41

For the energy relative to the lowest polymorph listed for this composition, the calculation gives 0.0 meV/atom. The formation energy is 0 kJ/mol of atoms.

=====

Entry 6:
BeInO3 | PBE | relaxed

Lattice parameters (Å, degrees): 5.7394 5.7394 5.7394 53.54 53.54 53.54
With the nearest neighbours (Å) after each atom.
Sites, in units of the cell vectors:
Be: 0.2500 0.2500 0.2500  3 O 1.55
Be: 0.7500 0.7500 0.7500  3 O 1.55
In: 0.0000 0.0000 0.0000  6 O 2.19
In: 0.5000 0.5000 0.5000  6 O 2.19
O: 0.0504 0.7500 0.4496  1 Be 1.55
O: 0.2500 0.5504 0.9496  1 Be 1.55
O: 0.4496 0.0504 0.7500  1 Be 1.55
O: 0.5504 0.9496 0.2500  1 Be 1.55
O: 0.7500 0.4496 0.0504  1 Be 1.55
O: 0.9496 0.2500 0.5504  1 Be 1.55

As for the uncorrected formation energy: -761 kJ/mol of formula units.

=====

| no. | energy (eV per atom) |
| --- | --- |
| 1 | -3.032 |
| 2 | -8.492 |
| 3 | -4.461 |
| 4 | -5.802 |
| 5 | -0.904 |
| 6 | -5.846 |